# 1
First-principles (GGA-PBEsol) data for crystalline CuSi at its relaxed geometry, as listed in Alexandria via LeMat-Bulk.

a = 3.9346 Å, b = 5.0325 Å, c = 5.0325 Å
α = 120.00°, β = 90.00°, γ = 90.00°
Last column: nearest neighbours and their distance in Å.
Atoms (fractional coordinates):
Cu  0.0000  0.0000  0.0000  6 Si 2.52
Cu  0.5000  0.6667  0.3333  6 Si 2.45
Cu  0.5000  0.3333  0.6667  6 Si 2.45
Si  0.0000  0.5000  0.5000  6 Cu 2.45-2.52, 4 Si 2.52
Si  0.0000  0.0000  0.5000  6 Cu 2.45-2.52, 4 Si 2.52
Si  0.0000  0.5000  0.0000  6 Cu 2.45-2.52, 4 Si 2.52

Computed properties:
Theoretical density (Mg/m³): 5.290
Final energy (eV per cell): -28.8
Formation energy without anion corrections (eV/atom): 0.24


# 2
First-principles (GGA-PBEsol) data for crystalline KReAs2 at its relaxed geometry, as listed in Alexandria via LeMat-Bulk.

a = 4.0070 Å, b = 4.0070 Å, c = 5.4920 Å
α = 111.40°, β = 111.40°, γ = 90.00°
Last column: nearest neighbours and their distance in Å.
Atoms (fractional coordinates):
As  0.0000  0.0000  0.0000  4 K 2.83, 4 As 3.09, 4 Re 3.09
As  0.7500  0.2500  0.5000  4 Re 2.83, 4 K 3.09, 4 As 3.09
K  0.5000  0.5000  0.0000  8 As 2.83-3.09, 4 Re 3.09
Re  0.2500  0.7500  0.5000  8 As 2.83-3.09, 4 K 3.09

Computed properties:
Energy relative to the lowest polymorph listed for this composition (kJ/mol of atoms): 102.19
Theoretical density (Mg/m³): 8.247
Final energy (eV per cell): -20.4
Energy of formation from the pure elements (eV per atom): 1.0777


# 3
First-principles (GGA-PBEsol) data for crystalline Ba2YCdAu at its relaxed geometry, as listed in Alexandria via LeMat-Bulk.

a = 5.2484 Å, b = 6.1320 Å, c = 6.1320 Å
α = 90.00°, β = 90.00°, γ = 90.00°
Last column: nearest neighbours and their distance in Å.
Atoms (fractional coordinates):
Y  0.5000  0.5000  0.5000  8 Ba 4.04, 4 Cd 4.34
Au  0.0000  0.0000  0.0000  2 Cd 2.62
Ba  0.0000  0.0000  0.5000  2 Au 3.07
Ba  0.0000  0.5000  0.0000  2 Au 3.07
Cd  0.5000  0.0000  0.0000  2 Au 2.62

Computed properties:
Theoretical density (Mg/m³): 5.662
Final energy (eV per cell): -15.9
Energy of formation from the pure elements (eV per atom): 0.0650


# 4
First-principles (GGA-PBEsol) data for crystalline Li3W8O24 at its relaxed geometry, as listed in Alexandria via LeMat-Bulk.

a = 7.4509 Å, b = 7.4376 Å, c = 7.4700 Å
α = 90.00°, β = 90.00°, γ = 90.00°
Last column: nearest neighbours and their distance in Å.
Atoms (fractional coordinates):
Li  0.0000  0.5000  0.5000  4 O 2.14
Li  0.5000  0.0000  0.0000  4 O 2.14
Li  0.0000  0.0000  0.5000  4 O 2.14
W  0.7496  0.7490  0.7511  6 O 1.90-1.94
W  0.2504  0.2510  0.2489  6 O 1.90-1.94
W  0.7496  0.2510  0.2489  6 O 1.90-1.94
W  0.2504  0.7490  0.7511  6 O 1.90-1.94
W  0.7496  0.7490  0.2489  6 O 1.90-1.94
W  0.2504  0.2510  0.7511  6 O 1.90-1.94
W  0.7496  0.2510  0.7511  6 O 1.90-1.94
W  0.2504  0.7490  0.2489  6 O 1.90-1.94
O  0.5000  0.7889  0.7105  2 W 1.91
O  0.0000  0.2876  0.2086  2 W 1.91
O  0.0000  0.7124  0.7914  2 W 1.91
O  0.5000  0.2111  0.2895  2 W 1.91
O  0.5000  0.2111  0.7105  2 W 1.91
O  0.0000  0.7124  0.2086  2 W 1.91
O  0.0000  0.2876  0.7914  2 W 1.91
O  0.5000  0.7889  0.2895  2 W 1.91
O  0.2063  0.3001  0.5000  2 W 1.94, 1 Li 2.14
O  0.7094  0.8036  0.0000  2 W 1.93, 1 Li 2.14
O  0.2906  0.1964  0.0000  2 W 1.93, 1 Li 2.14
O  0.7937  0.6999  0.5000  2 W 1.94, 1 Li 2.14
O  0.7937  0.3001  0.5000  2 W 1.94, 1 Li 2.14
O  0.2906  0.8036  0.0000  2 W 1.93, 1 Li 2.14
O  0.7094  0.1964  0.0000  2 W 1.93, 1 Li 2.14
O  0.2063  0.6999  0.5000  2 W 1.94, 1 Li 2.14
O  0.7089  0.5000  0.2104  2 W 1.90
O  0.2016  0.0000  0.7031  2 W 1.94, 1 Li 2.14
O  0.7984  0.0000  0.2969  2 W 1.94, 1 Li 2.14
O  0.2911  0.5000  0.7896  2 W 1.90
O  0.7089  0.5000  0.7896  2 W 1.90
O  0.2016  0.0000  0.2969  2 W 1.94, 1 Li 2.14
O  0.7984  0.0000  0.7031  2 W 1.94, 1 Li 2.14
O  0.2911  0.5000  0.2104  2 W 1.90

Computed properties:
Energy relative to the lowest polymorph listed for this composition (kJ/mol of atoms): 0.10
Theoretical density (Mg/m³): 7.523
Final energy (eV per cell): -318.6
Formation energy without anion corrections (eV/atom): -2.18


# 5
First-principles (GGA-PBEsol) data for crystalline SrLaAl4 at its relaxed geometry, as listed in Alexandria via LeMat-Bulk.

a = 5.7362 Å, b = 5.7362 Å, c = 5.7362 Å
α = 60.00°, β = 60.00°, γ = 60.00°
Last column: nearest neighbours and their distance in Å.
Atoms (fractional coordinates):
Sr  0.0000  0.0000  0.0000  12 Al 3.36, 4 La 3.51
Al  0.8733  0.3756  0.3756  6 Al 2.86-2.88
Al  0.3756  0.3756  0.3756  6 Al 2.86-2.88
Al  0.3756  0.3756  0.8733  6 Al 2.86-2.88
Al  0.3756  0.8733  0.3756  6 Al 2.86-2.88
La  0.7500  0.7500  0.7500  12 Al 3.36, 4 Sr 3.51

Computed properties:
Theoretical density (Mg/m³): 4.161
Final energy (eV per cell): -25.8
Energy of formation from the pure elements (eV per atom): -0.3748


# 6
First-principles (GGA-PBEsol) data for crystalline BeNiSe2 at its relaxed geometry, as listed in Alexandria via LeMat-Bulk.

a = 3.3573 Å, b = 4.0002 Å, c = 5.5206 Å
α = 102.20°, β = 90.00°, γ = 114.81°
Last column: nearest neighbours and their distance in Å.
Atoms (fractional coordinates):
Ni  0.7403  0.4807  0.3286  1 Be 2.09
Se  0.0038  0.0076  0.1197  2 Be 2.35, 3 Ni 2.45-2.49
Se  0.2835  0.5669  0.6465  1 Be 2.12
Be  0.4724  0.9448  0.4053  1 Ni 2.09, 1 Se 2.12

Computed properties:
Theoretical density (Mg/m³): 5.725
Final energy (eV per cell): -19.0
Formation energy without anion corrections (eV/atom): -0.28


# 7
First-principles (GGA-PBEsol) data for crystalline FeSeCl2 at its relaxed geometry, as listed in Alexandria via LeMat-Bulk.

a = 3.1962 Å, b = 3.6272 Å, c = 8.3872 Å
α = 90.00°, β = 90.00°, γ = 116.14°
Last column: nearest neighbours and their distance in Å.
Atoms (fractional coordinates):
Fe  0.0000  0.0000  0.5104  2 Cl 2.26, 2 Se 2.32
Se  0.5000  0.0000  0.7104  2 Fe 2.32
Cl  0.0000  0.0000  0.9600  2 Se 2.63
Cl  0.5000  0.0000  0.3192  2 Fe 2.26

Computed properties:
Energy relative to the lowest polymorph listed for this composition (kJ/mol of atoms): 0.00
Theoretical density (Mg/m³): 3.913
Final energy (eV per cell): -17.0
Formation energy without anion corrections (eV/atom): -0.04


# 8
First-principles (GGA-PBEsol) data for crystalline BaSb4 at its relaxed geometry, as listed in Alexandria via LeMat-Bulk.

a = 6.2944 Å, b = 6.2944 Å, c = 6.2944 Å
α = 109.47°, β = 109.47°, γ = 109.47°
Last column: nearest neighbours and their distance in Å.
Atoms (fractional coordinates):
Ba  0.0000  0.0000  0.0000  8 Sb 3.15
Sb  0.0000  0.0000  0.5000  2 Ba 3.15
Sb  0.0000  0.5000  0.0000  2 Ba 3.15
Sb  0.5000  0.0000  0.0000  2 Ba 3.15
Sb  0.5000  0.5000  0.5000  2 Ba 3.15

Computed properties:
Theoretical density (Mg/m³): 5.401
Final energy (eV per cell): -18.4
Formation energy without anion corrections (eV/atom): 0.40


# 9
First-principles (GGA-PBEsol) data for crystalline CoIrRh at its relaxed geometry, as listed in Alexandria via LeMat-Bulk.

a = 2.6500 Å, b = 2.6500 Å, c = 5.7221 Å
α = 103.39°, β = 103.39°, γ = 90.00°
Last column: nearest neighbours and their distance in Å.
Atoms (fractional coordinates):
Rh  0.3382  0.3382  0.6763  4 Co 2.57, 4 Rh 2.65, 4 Ir 2.68
Ir  0.6605  0.6605  0.3210  4 Co 2.54, 4 Ir 2.65, 4 Rh 2.68
Co  0.0013  0.0013  0.0027  4 Ir 2.54, 4 Rh 2.57, 4 Co 2.65

Computed properties:
Energy relative to the lowest polymorph listed for this composition (kJ/mol of atoms): 1.12
Theoretical density (Mg/m³): 15.484
Final energy (eV per cell): -25.6
Energy of formation from the pure elements (eV per atom): 0.0377


# 10
First-principles (GGA-PBEsol) data for crystalline CuRuW at its relaxed geometry, as listed in Alexandria via LeMat-Bulk.

a = 3.1224 Å, b = 3.1224 Å, c = 4.7178 Å
α = 109.32°, β = 109.32°, γ = 90.00°
Last column: nearest neighbours and their distance in Å.
Atoms (fractional coordinates):
Cu  0.0008  0.0008  0.0017  5 Ru 2.60-2.79, 5 W 2.62-2.77
Ru  0.6666  0.6666  0.3331  5 Cu 2.60-2.79, 5 W 2.61-2.78
W  0.3326  0.3326  0.6652  5 Ru 2.61-2.78, 5 Cu 2.62-2.77

Computed properties:
Energy relative to the lowest polymorph listed for this composition (kJ/mol of atoms): 0.00
Theoretical density (Mg/m³): 14.235
Final energy (eV per cell): -27.8
Energy of formation from the pure elements (eV per atom): 0.1868


# 11
First-principles (GGA-PBEsol) data for crystalline Fe2ReBr at its relaxed geometry, as listed in Alexandria via LeMat-Bulk.

a = 4.2341 Å, b = 4.2341 Å, c = 4.2341 Å
α = 60.00°, β = 60.00°, γ = 60.00°
Last column: nearest neighbours and their distance in Å.
Atoms (fractional coordinates):
Br  0.0000  0.0000  0.0000  8 Fe 2.59
Fe  0.2500  0.2500  0.2500  4 Re 2.59, 4 Br 2.59
Fe  0.7500  0.7500  0.7500  4 Br 2.59, 4 Re 2.59
Re  0.5000  0.5000  0.5000  8 Fe 2.59

Computed properties:
Energy relative to the lowest polymorph listed for this composition (kJ/mol of atoms): 54.08
Theoretical density (Mg/m³): 11.688
Final energy (eV per cell): -28.7
Formation energy without anion corrections (eV/atom): 1.12


# 12
First-principles (GGA-PBEsol) data for crystalline Ce2AlRu2 at its relaxed geometry, as listed in Alexandria via LeMat-Bulk.

a = 5.7184 Å, b = 5.7184 Å, c = 6.7928 Å
α = 90.00°, β = 90.00°, γ = 118.81°
Last column: nearest neighbours and their distance in Å.
Atoms (fractional coordinates):
Ce  0.3436  0.6564  0.0781  4 Ru 2.68-2.84
Ce  0.6564  0.3436  0.9219  4 Ru 2.68-2.84
Ce  0.1564  0.8436  0.5781  4 Ru 2.68-2.84
Ce  0.8436  0.1564  0.4219  4 Ru 2.68-2.84
Al  0.0000  0.0000  0.0000  4 Ru 2.56
Al  0.5000  0.5000  0.5000  4 Ru 2.56
Ru  0.8756  0.6244  0.2500  2 Al 2.56, 4 Ce 2.68-2.84
Ru  0.6244  0.8756  0.7500  2 Al 2.56, 4 Ce 2.68-2.84
Ru  0.1244  0.3756  0.7500  2 Al 2.56, 4 Ce 2.68-2.84
Ru  0.3756  0.1244  0.2500  2 Al 2.56, 4 Ce 2.68-2.84

Computed properties:
Theoretical density (Mg/m³): 8.691
Final energy (eV per cell): -79.6
Energy of formation from the pure elements (eV per atom): -0.4309


# 13
First-principles (GGA-PBEsol) data for crystalline Sr2GePb at its relaxed geometry, as listed in Alexandria via LeMat-Bulk.

a = 5.5594 Å, b = 5.5594 Å, c = 5.5594 Å
α = 60.00°, β = 60.00°, γ = 60.00°
Last column: nearest neighbours and their distance in Å.
Atoms (fractional coordinates):
Pb  0.5000  0.5000  0.5000  8 Sr 3.40
Sr  0.2500  0.2500  0.2500  4 Ge 3.40, 4 Pb 3.40
Sr  0.7500  0.7500  0.7500  4 Pb 3.40, 4 Ge 3.40
Ge  0.0000  0.0000  0.0000  8 Sr 3.40

Computed properties:
Theoretical density (Mg/m³): 6.220
Final energy (eV per cell): -14.4
Energy of formation from the pure elements (eV per atom): -0.4546